Model one:
! GaHgBr (PBE, relaxed); values from VASP
! Symmetry: F-43m
&SYSTEM
  ibrav = 0, nat = 3, ntyp = 3
/
ATOMIC_SPECIES
Br 79.90 Br.upf
Ga 69.72 Ga.upf
Hg 200.59 Hg.upf
CELL_PARAMETERS angstrom
5.160 0.000 0.000
2.580 4.469 0.000
2.580 1.490 4.213
ATOMIC_POSITIONS crystal
Br 0.500 0.500 0.500
Ga 0.250 0.250 0.250
Hg 0.000 0.000 0.000

=====

Model two:
! GaHgBr (PBE, relaxed); values from VASP
! Symmetry: P3m1
&SYSTEM
  ibrav = 0, nat = 3, ntyp = 3
/
ATOMIC_SPECIES
Br 79.90 Br.upf
Ga 69.72 Ga.upf
Hg 200.59 Hg.upf
CELL_PARAMETERS angstrom
4.420 0.000 0.000
-2.210 3.828 0.000
0.000 0.000 5.768
ATOMIC_POSITIONS crystal
Br 0.333 0.667 0.598
Ga 0.667 0.333 0.350
Hg 0.000 0.000 0.051

=====

Out of the structures above, which one is the least stable? Solution: model one.